1.
This record from Alexandria via LeMat-Bulk describes crystalline Cs2WCBr6 at its relaxed geometry. The functional is GGA-PBE.

Computed properties:
Formation energy without anion corrections, eV/atom: -0.251
Crystal system: tetragonal

Cell lengths 7.431, 7.431, 12.036 Å; angles 90.00, 90.00, 90.00 degrees
Space group I4/mmm (No. 139)
Inequivalent atoms, fractional coordinates:
1 Cs 0.000 0.500 0.250 [4 per cell]
2 W 0.000 0.000 0.000 [2 per cell]
3 C 0.000 0.000 0.500 [2 per cell]
4 Br 0.000 0.000 0.214 [4 per cell]
5 Br 0.248 0.248 0.000 [8 per cell]



2.
This record from Alexandria via LeMat-Bulk describes crystalline ZrAs4 at its relaxed geometry. The functional is GGA-PBE.

Computed properties:
Crystal system: cubic
Calculated formation energy, eV per atom: 0.55
E above lowest polymorph, kcal/mol of atoms: 19.21

Cell lengths 5.166, 5.166, 5.166 Å; angles 90.00, 90.00, 90.00 degrees
Space group Pm-3m (No. 221)
Inequivalent atoms, fractional coordinates:
1 Zr 0.000 0.000 0.000 [1 per cell]
2 As 0.000 0.000 0.500 [3 per cell]
3 As 0.500 0.500 0.500 [1 per cell]



3.
This record from Alexandria via LeMat-Bulk describes crystalline PdRhW2Se at its relaxed geometry. The functional is GGA-PBE.

Computed properties:
Formation energy without anion corrections, eV/atom: 1.822
Crystal system: tetragonal
E above lowest polymorph, kcal/mol of atoms: 1.77

Cell lengths 4.738, 4.738, 4.705 Å; angles 90.00, 90.00, 90.00 degrees
Space group P4/mmm (No. 123)
Inequivalent atoms, fractional coordinates:
1 Pd 0.000 0.000 0.000 [1 per cell]
2 Rh 0.500 0.500 0.500 [1 per cell]
3 W 0.000 0.500 0.500 [2 per cell]
4 Se 0.500 0.500 0.000 [1 per cell]



4.
This record from Alexandria via LeMat-Bulk describes crystalline Zn2TeRh at its relaxed geometry. The functional is GGA-PBE.

Computed properties:
Formation energy without anion corrections, eV/atom: -0.001
Crystal system: tetragonal

Cell lengths 4.119, 4.119, 4.071 Å; angles 90.00, 90.00, 90.00 degrees
Space group P4/mmm (No. 123)
Inequivalent atoms, fractional coordinates:
1 Zn 0.000 0.500 0.000 [2 per cell]
2 Te 0.000 0.000 0.500 [1 per cell]
3 Rh 0.500 0.500 0.500 [1 per cell]



5.
This record from Alexandria via LeMat-Bulk describes crystalline Dy2TmScTl2 at its relaxed geometry. The functional is GGA-PBE.

Computed properties:
Crystal system: orthorhombic
Calculated formation energy, eV per atom: -0.25

Cell lengths 4.944, 9.757, 6.802 Å; angles 90.00, 90.00, 90.00 degrees
Space group Pmc2_1 (No. 26)
Inequivalent atoms, fractional coordinates:
1 Dy 0.000 0.046 0.000 [2 per cell]
2 Dy 0.500 0.191 0.284 [2 per cell]
3 Tm 0.500 0.455 0.900 [2 per cell]
4 Sc 0.000 0.308 0.614 [2 per cell]
5 Tl 0.000 0.381 0.169 [2 per cell]
6 Tl 0.500 0.140 0.742 [2 per cell]



6.
This record from Alexandria via LeMat-Bulk describes crystalline Na2Sr3Cl8 at its relaxed geometry. The functional is GGA-PBE.

Computed properties:
Formation energy without anion corrections, eV/atom: -2.232
Crystal system: monoclinic

Cell lengths 13.653, 8.522, 7.523 Å; angles 90.00, 100.60, 90.00 degrees
Space group C2/m (No. 12)
Inequivalent atoms, fractional coordinates:
1 Na 0.207 0.000 0.072 [4 per cell]
2 Sr 0.000 0.245 0.500 [4 per cell]
3 Sr 0.000 0.500 0.000 [2 per cell]
4 Cl 0.108 0.000 0.359 [4 per cell]
5 Cl 0.110 0.500 0.366 [4 per cell]
6 Cl 0.127 0.272 0.862 [8 per cell]



7.
This record from Alexandria via LeMat-Bulk describes crystalline CdSb2TeO at its relaxed geometry. The functional is GGA-PBE.

Computed properties:
Formation energy without anion corrections, eV/atom: 0.062
Crystal system: tetragonal
E above lowest polymorph, kcal/mol of atoms: 0.00

Cell lengths 4.667, 4.667, 5.418 Å; angles 90.00, 90.00, 90.00 degrees
Space group P4/mmm (No. 123)
Inequivalent atoms, fractional coordinates:
1 Cd 0.000 0.000 0.000 [1 per cell]
2 Sb 0.000 0.500 0.500 [2 per cell]
3 Te 0.500 0.500 0.000 [1 per cell]
4 O 0.500 0.500 0.500 [1 per cell]



8.
This record from Alexandria via LeMat-Bulk describes crystalline CaCdP at its relaxed geometry. The functional is GGA-PBE.

Computed properties:
Crystal system: orthorhombic
Calculated formation energy, eV per atom: -0.30
E above lowest polymorph, kcal/mol of atoms: 6.73

Cell lengths 3.413, 3.803, 10.585 Å; angles 90.00, 90.00, 90.00 degrees
Space group Imm2 (No. 44)
Inequivalent atoms, fractional coordinates:
1 Ca 0.000 0.000 0.000 [2 per cell]
2 Cd 0.000 0.000 0.296 [2 per cell]
3 P 0.000 0.000 0.657 [2 per cell]



9.
This record from Alexandria via LeMat-Bulk describes crystalline CeDy3Se6 at its relaxed geometry. The functional is GGA-PBE.

Computed properties:
Formation energy without anion corrections, eV/atom: -1.869
Crystal system: monoclinic

Cell lengths 11.625, 4.140, 11.906 Å; angles 90.00, 109.01, 90.00 degrees
Space group P2_1/m (No. 11)
Inequivalent atoms, fractional coordinates:
1 Ce 0.047 0.250 0.194 [2 per cell]
2 Dy 0.159 0.250 0.585 [2 per cell]
3 Dy 0.319 0.750 0.000 [2 per cell]
4 Dy 0.438 0.250 0.334 [2 per cell]
5 Se 0.084 0.750 0.404 [2 per cell]
6 Se 0.117 0.250 0.964 [2 per cell]
7 Se 0.196 0.750 0.751 [2 per cell]
8 Se 0.260 0.750 0.227 [2 per cell]
9 Se 0.394 0.250 0.560 [2 per cell]
10 Se 0.481 0.250 0.114 [2 per cell]



10.
This record from Alexandria via LeMat-Bulk describes crystalline Tl2SbMo at its relaxed geometry. The functional is GGA-PBE.

Computed properties:
Formation energy without anion corrections, eV/atom: 0.908
Crystal system: cubic
E above lowest polymorph, kcal/mol of atoms: 13.81

Cell lengths 7.406, 7.406, 7.406 Å; angles 90.00, 90.00, 90.00 degrees
Space group Fm-3m (No. 225)
Inequivalent atoms, fractional coordinates:
1 Tl 0.250 0.250 0.250 [8 per cell]
2 Sb 0.000 0.000 0.000 [4 per cell]
3 Mo 0.000 0.000 0.500 [4 per cell]



11.
This record from Alexandria via LeMat-Bulk describes crystalline Er3CoB7 at its relaxed geometry. The functional is GGA-PBE.

Computed properties:
Crystal system: orthorhombic
Calculated formation energy, eV per atom: -0.61

Cell lengths 3.378, 15.580, 9.261 Å; angles 90.00, 90.00, 90.00 degrees
Space group Cmcm (No. 63)
Inequivalent atoms, fractional coordinates:
1 Er 0.000 0.105 0.061 [8 per cell]
2 Er 0.000 0.244 0.750 [4 per cell]
3 Co 0.000 0.054 0.750 [4 per cell]
4 B 0.000 0.272 0.033 [8 per cell]
5 B 0.000 0.369 0.153 [8 per cell]
6 B 0.000 0.459 0.750 [4 per cell]
7 B 0.000 0.479 0.097 [8 per cell]



12.
This record from Alexandria via LeMat-Bulk describes crystalline Na5H12Ru2 at its relaxed geometry. The functional is GGA-PBE.

Computed properties:
Calculated total energy, eV per atom: -3.6018
Crystal system: orthorhombic

Cell lengths 6.349, 7.658, 7.805 Å; angles 90.00, 90.00, 90.00 degrees
Space group Immm (No. 71)
Inequivalent atoms, fractional coordinates:
1 Na 0.000 0.000 0.000 [2 per cell]
2 Na 0.000 0.278 0.278 [8 per cell]
3 H 0.000 0.104 0.500 [4 per cell]
4 H 0.000 0.500 0.102 [4 per cell]
5 H 0.227 0.000 0.278 [8 per cell]
6 H 0.227 0.273 0.000 [8 per cell]
7 Ru 0.250 0.000 0.500 [4 per cell]



13.
This record from Alexandria via LeMat-Bulk describes crystalline In2RuS2 at its relaxed geometry. The functional is GGA-PBE.

Computed properties:
Formation energy without anion corrections, eV/atom: 0.247
Crystal system: tetragonal
E above lowest polymorph, kcal/mol of atoms: 4.23

Cell lengths 5.376, 5.376, 7.577 Å; angles 90.00, 90.00, 90.00 degrees
Space group I4/mmm (No. 139)
Inequivalent atoms, fractional coordinates:
1 In 0.000 0.500 0.250 [4 per cell]
2 Ru 0.000 0.000 0.000 [2 per cell]
3 S 0.000 0.000 0.302 [4 per cell]



14.
This record from Alexandria via LeMat-Bulk describes crystalline HfZn2GaNi at its relaxed geometry. The functional is GGA-PBE.

Computed properties:
Crystal system: tetragonal
Calculated formation energy, eV per atom: 0.73

Cell lengths 4.449, 4.449, 5.114 Å; angles 90.00, 90.00, 90.00 degrees
Space group P4/mmm (No. 123)
Inequivalent atoms, fractional coordinates:
1 Hf 0.000 0.000 0.000 [1 per cell]
2 Zn 0.000 0.500 0.500 [2 per cell]
3 Ga 0.000 0.000 0.500 [1 per cell]
4 Ni 0.500 0.500 0.000 [1 per cell]



15.
This record from Alexandria via LeMat-Bulk describes crystalline Dy2MgRh at its relaxed geometry. The functional is GGA-PBE.

Computed properties:
Crystal system: trigonal
Calculated formation energy, eV per atom: -0.19
E above lowest polymorph, kcal/mol of atoms: 7.09

Cell lengths 3.8353, 3.8353, 29.9394 Å; angles 90.00, 90.00, 120.00 degrees
Space group R-3m (No. 166, hexagonal axes)
Inequivalent atoms, fractional coordinates:
1 Dy 0.0000 0.0000 0.1141 [6 per cell]
2 Mg 0.0000 0.0000 0.0000 [3 per cell]
3 Rh 0.0000 0.0000 0.5000 [3 per cell]



16.
This record from Alexandria via LeMat-Bulk describes crystalline ZrNb2Te2 at its relaxed geometry. The functional is GGA-PBE.

Computed properties:
Formation energy without anion corrections, eV/atom: 0.136
Crystal system: tetragonal
E above lowest polymorph, kcal/mol of atoms: 2.14

Cell lengths 5.228, 5.228, 8.681 Å; angles 90.00, 90.00, 90.00 degrees
Space group I4/mmm (No. 139)
Inequivalent atoms, fractional coordinates:
1 Zr 0.000 0.000 0.000 [2 per cell]
2 Nb 0.000 0.000 0.365 [4 per cell]
3 Te 0.000 0.500 0.250 [4 per cell]



17.
This record from Alexandria via LeMat-Bulk describes crystalline ScTcRh2 at its relaxed geometry. The functional is GGA-PBE.

Computed properties:
Crystal system: orthorhombic
Calculated formation energy, eV per atom: -0.22
E above lowest polymorph, kcal/mol of atoms: 3.92

Cell lengths 2.873, 4.496, 9.835 Å; angles 90.00, 90.00, 90.00 degrees
Space group Imm2 (No. 44)
Inequivalent atoms, fractional coordinates:
1 Sc 0.000 0.000 0.000 [2 per cell]
2 Tc 0.000 0.500 0.776 [2 per cell]
3 Rh 0.000 0.000 0.495 [2 per cell]
4 Rh 0.000 0.500 0.232 [2 per cell]



18.
This record from Alexandria via LeMat-Bulk describes crystalline Ca5PaSe8 at its relaxed geometry. The functional is GGA-PBE.

Computed properties:
Formation energy without anion corrections, eV/atom: -1.667
Crystal system: tetragonal

Cell lengths 8.875, 8.875, 8.831 Å; angles 90.00, 90.00, 90.00 degrees
Space group I-4 (No. 82)
Inequivalent atoms, fractional coordinates:
1 Ca 0.000 0.000 0.000 [2 per cell]
2 Ca 0.123 0.748 0.631 [8 per cell]
3 Pa 0.000 0.500 0.250 [2 per cell]
4 Se 0.064 0.673 0.959 [8 per cell]
5 Se 0.069 0.809 0.305 [8 per cell]



19.
This record from Alexandria via LeMat-Bulk describes crystalline AcDyBe2Si2 at its relaxed geometry. The functional is GGA-PBE.

Computed properties:
Formation energy without anion corrections, eV/atom: -0.540
Crystal system: trigonal

Cell lengths 3.9641, 3.9641, 8.6777 Å; angles 90.00, 90.00, 120.00 degrees
Space group P-3m1 (No. 164)
Inequivalent atoms, fractional coordinates:
1 Ac 0.0000 0.0000 0.0000 [1 per cell]
2 Dy 0.0000 0.0000 0.5000 [1 per cell]
3 Be 0.3333 0.6667 0.7271 [2 per cell]
4 Si 0.3333 0.6667 0.2746 [2 per cell]



20.
This record from Alexandria via LeMat-Bulk describes crystalline SrGd3Os at its relaxed geometry. The functional is GGA-PBE.

Computed properties:
Crystal system: cubic
Calculated formation energy, eV per atom: -0.08

Cell lengths 5.549, 5.549, 5.549 Å; angles 90.00, 90.00, 90.00 degrees
Space group Pm-3m (No. 221)
Inequivalent atoms, fractional coordinates:
1 Sr 0.000 0.000 0.000 [1 per cell]
2 Gd 0.000 0.500 0.500 [3 per cell]
3 Os 0.500 0.500 0.500 [1 per cell]



21.
This record from Alexandria via LeMat-Bulk describes crystalline FeAu3 at its relaxed geometry. The functional is GGA-PBE.

Computed properties:
Crystal system: trigonal
Calculated formation energy, eV per atom: 0.23

Cell lengths 9.2164, 9.2164, 2.7682 Å; angles 90.00, 90.00, 120.00 degrees
Space group R-3m (No. 166, hexagonal axes)
Inequivalent atoms, fractional coordinates:
1 Fe 0.0000 0.0000 0.0000 [3 per cell]
2 Au 0.0000 0.5000 0.0000 [9 per cell]



22.
This record from Alexandria via LeMat-Bulk describes crystalline Ca2ScCuMo at its relaxed geometry. The functional is GGA-PBE.

Computed properties:
Crystal system: tetragonal
Calculated formation energy, eV per atom: 0.82
E above lowest polymorph, kcal/mol of atoms: 0.00

Cell lengths 5.368, 5.368, 4.993 Å; angles 90.00, 90.00, 90.00 degrees
Space group P4/mmm (No. 123)
Inequivalent atoms, fractional coordinates:
1 Ca 0.000 0.500 0.000 [2 per cell]
2 Sc 0.000 0.000 0.500 [1 per cell]
3 Cu 0.000 0.000 0.000 [1 per cell]
4 Mo 0.500 0.500 0.500 [1 per cell]



23.
This record from Alexandria via LeMat-Bulk describes crystalline CrCuNi2 at its relaxed geometry. The functional is GGA-PBE.

Computed properties:
Crystal system: trigonal
Calculated formation energy, eV per atom: 0.06

Cell lengths 2.5134, 2.5134, 24.7363 Å; angles 90.00, 90.00, 120.00 degrees
Space group R3m (No. 160, hexagonal axes)
Inequivalent atoms, fractional coordinates:
1 Cr 0.0000 0.0000 0.0000 [3 per cell]
2 Cu 0.0000 0.0000 0.8334 [3 per cell]
3 Ni 0.0000 0.0000 0.4149 [3 per cell]
4 Ni 0.0000 0.0000 0.5855 [3 per cell]



24.
This record from Alexandria via LeMat-Bulk describes crystalline Ho3Ag3GeO8 at its relaxed geometry. The functional is GGA-PBE.

Computed properties:
Formation energy without anion corrections, eV/atom: -1.997
Crystal system: monoclinic

Cell lengths 11.629, 6.717, 6.889 Å; angles 90.00, 124.43, 90.00 degrees
Space group C2/m (No. 12)
Inequivalent atoms, fractional coordinates:
1 Ho 0.000 0.000 0.000 [2 per cell]
2 Ho 0.250 0.250 0.000 [4 per cell]
3 Ag 0.000 0.500 0.500 [2 per cell]
4 Ag 0.250 0.250 0.500 [4 per cell]
5 Ge 0.000 0.500 0.000 [2 per cell]
6 O 0.011 0.282 0.815 [8 per cell]
7 O 0.207 0.500 0.184 [4 per cell]
8 O 0.227 0.000 0.181 [4 per cell]